CdNiMo2: single point on PBEsol structure, meta-GGA SCAN.

Calculated values
Raw total energy   -28.67 eV/atom
Energy of formation   420 meV per atom

Geometry as CIF:
```
data_CdNiMo2
_space_group_name_H-M_alt 'R -3 m'
_space_group_IT_number 166
_space_group_name_Hall '-R 3 2"'
_cell_length_a 2.7259
_cell_length_b 2.7259
_cell_length_c 27.9513
_cell_angle_alpha 90.00
_cell_angle_beta 90.00
_cell_angle_gamma 120.00
loop_
_atom_site_label
_atom_site_fract_x
_atom_site_fract_y
_atom_site_fract_z
Cd1 0.0000 0.0000 0.0000
Ni1 0.0000 0.0000 0.5000
Mo1 0.0000 0.0000 0.2415
```